Record 1
Ho2Er12Tm: optimized geometry, PBE-GGA.

Values from the calculation:
- Formation energy: 0.097 eV/atom

abc: 6.603 6.603 23.614
angles: 93.67 93.67 115.58
Fractional positions:
Ho (0.207, 0.207, 0.216)
Ho (0.283, 0.283, 0.787)
Ho (0.717, 0.717, 0.213)
Ho (0.793, 0.793, 0.784)
Er (0.008, 0.497, 0.700)
Er (0.033, 0.033, 0.363)
Er (0.093, 0.093, 0.927)
Er (0.100, 0.602, 0.943)
Er (0.148, 0.589, 0.435)
Er (0.201, 0.691, 0.176)
Er (0.309, 0.799, 0.824)
Er (0.398, 0.900, 0.057)
Er (0.407, 0.407, 0.073)
Er (0.411, 0.852, 0.565)
Er (0.483, 0.483, 0.656)
Er (0.497, 0.008, 0.700)
Er (0.503, 0.992, 0.300)
Er (0.517, 0.517, 0.344)
Er (0.589, 0.148, 0.435)
Er (0.593, 0.593, 0.927)
Er (0.602, 0.100, 0.943)
Er (0.691, 0.201, 0.176)
Er (0.799, 0.309, 0.824)
Er (0.852, 0.411, 0.565)
Er (0.900, 0.398, 0.057)
Er (0.907, 0.907, 0.073)
Er (0.967, 0.967, 0.637)
Er (0.992, 0.503, 0.300)
Tm (0.253, 0.253, 0.520)
Tm (0.747, 0.747, 0.480)

---

Record 2
Ho5Er6Tm2: optimized geometry, PBE-GGA.

Values from the calculation:
- Formation energy: 0.101 eV/atom

abc: 11.457 19.953 3.524
angles: 90.00 90.00 90.00
Fractional positions:
Ho (0.000, 0.000, 0.000)
Ho (0.088, 0.272, 0.000)
Ho (0.199, 0.550, 0.000)
Ho (0.301, 0.050, 0.000)
Ho (0.412, 0.772, 0.000)
Ho (0.500, 0.500, 0.000)
Ho (0.588, 0.228, 0.000)
Ho (0.699, 0.950, 0.000)
Ho (0.801, 0.450, 0.000)
Ho (0.912, 0.728, 0.000)
Er (0.059, 0.418, 0.500)
Er (0.083, 0.131, 0.500)
Er (0.173, 0.863, 0.000)
Er (0.327, 0.363, 0.000)
Er (0.417, 0.631, 0.500)
Er (0.441, 0.918, 0.500)
Er (0.559, 0.082, 0.500)
Er (0.583, 0.369, 0.500)
Er (0.673, 0.637, 0.000)
Er (0.827, 0.137, 0.000)
Er (0.917, 0.869, 0.500)
Er (0.941, 0.582, 0.500)
Tm (0.168, 0.709, 0.500)
Tm (0.332, 0.209, 0.500)
Tm (0.668, 0.791, 0.500)
Tm (0.832, 0.291, 0.500)